# 1
Below is an optimized crystal structure of Pr3Nd8Er2, with properties calculated at the PBE level.

```
13
Lattice="-2.718 5.519 -1.132 -8.651 -1.611 -1.588 -3.027 3.089 7.826" Properties=species:S:1:pos:R:3 pbc="T T T"
Nd -7.069 1.993 3.228
Nd -4.394 5.475 -0.109
Nd -7.393 3.939 6.131
Nd -7.003 3.058 -1.024
Nd -4.265 5.347 3.560
Nd -10.003 1.522 5.216
Nd -7.327 5.004 1.879
Nd -10.132 1.651 1.547
Pr -4.395 1.946 5.537
Pr -7.283 -0.468 0.701
Pr -1.359 2.760 -0.566
Er -4.341 2.401 1.395
Er -10.055 4.596 3.712
```

Values from the calculation:
Its formation enthalpy at 0 K is 0.15 eV per atom. The excess energy over the best structure of this formula in the dataset is 0 meV per atom.



# 2
Below is an optimized crystal structure of Pr12NdEr7, with properties calculated at the PBE level.

```
20
Lattice="-4.383 -8.338 1.101 4.888 -0.327 -8.121 6.209 0.988 7.101" Properties=species:S:1:pos:R:3 pbc="T T T"
Er 6.327 -0.043 -4.993
Er 2.516 -5.894 -6.565
Er 3.357 -3.839 0.040
Er -2.314 -7.563 -1.554
Er 4.197 -1.783 6.646
Er 9.027 -0.114 1.634
Er 0.387 -7.634 5.074
Pr 2.965 -7.545 -0.478
Pr 2.061 -5.990 2.620
Pr 3.748 -0.132 0.559
Pr 0.302 -3.130 2.119
Pr 6.449 -2.171 0.830
Pr 4.653 -1.687 -2.540
Pr 6.412 -4.547 -2.038
Pr 1.028 -2.544 -2.617
Pr 5.685 -5.133 2.697
Pr 3.114 -5.131 -3.311
Pr 0.265 -5.506 -0.750
Pr 3.600 -2.546 3.392
Nd 0.000 0.000 0.000
```

Values from the calculation:
Its formation enthalpy at 0 K is 0.14 eV per atom. The excess energy over the best structure of this formula in the dataset is 0 meV per atom.